# 1
Material: CeNd2B9
Method: DFT, PBE-GGA
State: relaxed

a = 4.464 Å, b = 4.464 Å, c = 10.076 Å
α = 77.20°, β = 77.20°, γ = 60.00°
Sites, in units of the cell vectors:
Ce (0.000, 0.000, 0.000)
Nd (0.882, 0.882, 0.354)
Nd (0.118, 0.118, 0.646)
B (0.607, 0.607, 0.180)
B (0.393, 0.393, 0.820)
B (0.500, 0.500, 0.500)
B (0.395, 0.395, 0.177)
B (0.032, 0.395, 0.177)
B (0.395, 0.032, 0.177)
B (0.605, 0.605, 0.823)
B (0.605, 0.968, 0.823)
B (0.968, 0.605, 0.823)

Results
magnetization	0.00	μB/cell
symmetry	R-3m, No. 166
density of states at the Fermi level	4.601	states/eV/f.u.
calculated density	5.19	g/cm³
calculated total energy	-6.4518	eV per atom

# 2
Material: Ce2NdB9
Method: DFT, PBE-GGA
State: relaxed

a = 4.455 Å, b = 4.455 Å, c = 9.890 Å
α = 76.99°, β = 76.99°, γ = 60.00°
Sites, in units of the cell vectors:
Ce (0.881, 0.881, 0.357)
Ce (0.119, 0.119, 0.643)
Nd (0.000, 0.000, 0.000)
B (0.594, 0.594, 0.219)
B (0.406, 0.406, 0.781)
B (0.500, 0.500, 0.500)
B (0.389, 0.389, 0.196)
B (0.026, 0.389, 0.196)
B (0.389, 0.026, 0.196)
B (0.611, 0.611, 0.804)
B (0.611, 0.974, 0.804)
B (0.974, 0.611, 0.804)

Results
magnetization	0.00	μB/cell
symmetry	R-3m, No. 166
density of states at the Fermi level	2.728	states/eV/f.u.
calculated density	5.28	g/cm³
calculated total energy	-6.5724	eV per atom

Number 1: ΔH_f (0 K) -155 meV per atom. Number 2: ΔH_f (0 K) -178 meV per atom.